The following is a DFT calculation (PBE) of crystalline CrIn2P at its relaxed geometry.

Cell lengths 8.901, 8.901, 6.745 Å; angles 48.71, 48.71, 90.00 degrees
Last column: magnetic moment on the atom in μB.
Fractional coordinates of all 8 atoms:
P1 0.500 0.500 0.000  -0.04
P2 0.250 0.750 0.500  -0.04
In1 0.540 0.125 0.250  0.02
In2 0.875 0.790 0.750  0.02
In3 0.210 0.625 0.250  0.02
In4 0.375 0.460 0.750  0.01
Cr1 0.000 0.000 0.000  3.75
Cr2 0.750 0.250 0.500  3.75

Results
For the density, the calculation gives 5.404 Mg/m³. Its crystal system is tetragonal. The calculation puts the volume at 24.01 A^3/atom. The value obtained for the total DFT energy (no corrections) is -4.8184 eV per atom.

***

The following is a DFT calculation (PBE) of crystalline Na2Pr2Pt15 at its relaxed geometry.

Cell lengths 7.037, 7.037, 7.037 Å; angles 83.66, 83.66, 83.66 degrees
Fractional coordinates of all 19 atoms:
Pt1 0.660 0.166 0.660
Pt2 0.322 0.678 0.000
Pt3 0.340 0.340 0.834
Pt4 0.322 0.000 0.678
Pt5 0.678 0.000 0.322
Pt6 0.000 0.500 0.000
Pt7 0.166 0.660 0.660
Pt8 0.000 0.000 0.500
Pt9 0.340 0.834 0.340
Pt10 0.000 0.678 0.322
Pt11 0.500 0.000 0.000
Pt12 0.000 0.322 0.678
Pt13 0.660 0.660 0.166
Pt14 0.834 0.340 0.340
Pt15 0.678 0.322 0.000
Na1 0.909 0.909 0.909
Na2 0.091 0.091 0.091
Pr1 0.347 0.347 0.347
Pr2 0.653 0.653 0.653

Results
For the density, the calculation gives 15.776 Mg/m³. Its crystal system is trigonal. The calculation puts the volume at 18.03 A^3/atom. The value obtained for the total DFT energy (no corrections) is -5.9445 eV per atom.

***

The following is a DFT calculation (PBE) of crystalline Ta2CoTc at its relaxed geometry.

Cell lengths 2.800, 2.800, 8.201 Å; angles 90.00, 90.00, 107.68 degrees
Fractional coordinates of all 4 atoms:
Ta1 0.000 0.000 0.984
Ta2 0.000 0.000 0.516
Tc1 0.500 0.500 0.250
Co1 0.500 0.500 0.750

Results
For the density, the calculation gives 14.064 Mg/m³. Its crystal system is orthorhombic. For the excess energy over the best structure of this formula in the dataset, the calculation gives 0.71 eV/f.u. The calculation puts the volume at 15.31 A^3/atom.

***

The following is a DFT calculation (PBE) of crystalline Tl16Hg12I at its relaxed geometry.

Cell lengths 10.346, 10.346, 10.460 Å; angles 109.64, 109.64, 108.35 degrees
Fractional coordinates of all 29 atoms:
Hg1 0.809 0.168 0.801
Hg2 0.816 0.624 0.691
Hg3 0.001 0.380 0.179
Hg4 0.013 0.197 0.360
Hg5 0.380 0.001 0.179
Hg6 0.384 0.197 0.009
Hg7 0.547 0.547 0.769
Hg8 0.804 0.804 0.107
Hg9 0.197 0.384 0.009
Hg10 0.624 0.816 0.691
Hg11 0.168 0.809 0.801
Hg12 0.197 0.013 0.360
Tl1 0.396 0.685 0.987
Tl2 0.967 0.967 0.653
Tl3 0.021 0.021 0.012
Tl4 0.685 0.396 0.987
Tl5 0.263 0.263 0.696
Tl6 0.033 0.651 0.026
Tl7 0.996 0.394 0.692
Tl8 0.582 0.243 0.578
Tl9 0.365 0.365 0.351
Tl10 0.711 0.010 0.378
Tl11 0.243 0.582 0.578
Tl12 0.651 0.033 0.026
Tl13 0.747 0.363 0.351
Tl14 0.363 0.747 0.351
Tl15 0.394 0.996 0.692
Tl16 0.010 0.711 0.378
I1 0.632 0.632 0.307

Results
For the density, the calculation gives 11.076 Mg/m³. Its crystal system is monoclinic. For the raw formation energy, the calculation gives -0.023 eV/atom. The calculation puts the volume at 30.00 A^3/atom.

***

The following is a DFT calculation (PBE) of crystalline Fe2SiPt at its relaxed geometry.

Cell lengths 2.989, 2.989, 5.694 Å; angles 90.00, 90.00, 90.00 degrees
Last column: magnetic moment on the atom in μB.
Fractional coordinates of all 4 atoms:
Pt1 0.000 0.000 0.515  0.09
Fe1 0.000 0.000 0.993  1.87
Fe2 0.500 0.500 0.217  2.78
Si1 0.500 0.500 0.774  -0.04

Results
For the density, the calculation gives 10.933 Mg/m³. Its crystal system is tetragonal. For the raw formation energy, the calculation gives -0.269 eV/atom. The calculation puts the volume at 12.71 A^3/atom.

***

The following is a DFT calculation (PBE) of crystalline Al2SbBr at its relaxed geometry.

Cell lengths 4.315, 4.315, 7.900 Å; angles 65.22, 65.22, 56.10 degrees
Fractional coordinates of all 4 atoms:
Al1 0.468 0.468 0.457
Al2 0.032 0.032 0.043
Sb1 0.250 0.250 0.250
Br1 0.750 0.750 0.750

Results
For the density, the calculation gives 3.951 Mg/m³. Its crystal system is monoclinic. For the excess energy over the best structure of this formula in the dataset, the calculation gives 0.38 eV/f.u. For the raw formation energy, the calculation gives -0.037 eV/atom. The calculation puts the volume at 26.86 A^3/atom.